Entry from Alexandria: a geometry-optimized Cr2SbSCl structure (PBE-GGA).

Unit cell a=5.308 b=4.992 c=5.308 alpha=90.00 beta=90.00 gamma=90.00
Each line ends with the local moment (μB).
Atoms (fractional coordinates):
Sb 0.000 0.000 0.000  -0.13
S 0.500 0.500 0.500  -0.42
Cl 0.000 0.500 0.000  0.03
Cr 0.000 0.000 0.500  4.03
Cr 0.500 0.000 0.000  3.77

Computed properties:
Raw formation energy, eV/f.u.: 4.06